This record from Alexandria describes crystalline HfMnAsO5 at its relaxed geometry. The functional is PBE+U.

abc: 5.9112 5.9112 7.8895
angles: 106.90 106.90 109.12
Positions (direct):
Hf: 0.0000 0.0000 0.5000
Hf: 0.0000 0.0000 0.0000
O: 0.7908 0.5989 0.4183
O: 0.0475 0.6481 0.8872
O: 0.0577 0.9423 0.2500
O: 0.9525 0.3519 0.1128
O: 0.2092 0.4011 0.5817
O: 0.4011 0.2092 0.0817
O: 0.3519 0.9525 0.6128
O: 0.6481 0.0475 0.3872
O: 0.5989 0.7908 0.9183
O: 0.9423 0.0577 0.7500
As: 0.2853 0.7147 0.7500
As: 0.7147 0.2853 0.2500
Mn: 0.2729 0.7271 0.2500
Mn: 0.7271 0.2729 0.7500

DFT total energy (eV/atom): -7.873

***

This record from Alexandria describes crystalline HfMn2AsO6 at its relaxed geometry. The functional is PBE+U.

abc: 5.1597 5.7723 6.1472
angles: 57.58 59.90 58.86
Positions (direct):
O: 0.1081 0.4295 0.7255
O: 0.7664 0.1077 0.6777
O: 0.4196 0.6845 0.8033
O: 0.5820 0.2237 0.2637
O: 0.8967 0.6347 0.2612
O: 0.2513 0.8459 0.2658
Hf: 0.8252 0.8251 0.5450
As: 0.2773 0.3755 0.0983
Mn: 0.0166 0.0442 0.9135
Mn: 0.5183 0.4907 0.4611

DFT total energy (eV/atom): -7.919

***

no.,M_tot (μB per formula unit)
1,4.16
2,9.00